No. 1
# Ni2Ge2Pd

A geometry-optimized Ni2Ge2Pd structure (PBE, Alexandria via LeMat-Bulk).

Properties
Offset from the most stable computed form in eV per atom: 0.0462
Uncorrected energy in eV per atom: -5.47
E_form in eV/atom: -0.27

a = 2.901 Å, b = 4.202 Å, c = 6.436 Å
α = 71.01°, β = 89.91°, γ = 71.42°
Positions (direct):
Ni  0.000  0.000  0.000
Ni  0.228  0.552  0.764
Ge  0.727  0.505  0.100
Ge  0.894  0.203  0.609
Pd  0.556  0.903  0.379



No. 2
# Ni2GePd2

A geometry-optimized Ni2GePd2 structure (PBE, Alexandria via LeMat-Bulk).

Properties
Offset from the most stable computed form in eV per atom: 0.1820
Uncorrected energy in eV per atom: -5.23
E_form in eV/atom: 0.09

a = 6.444 Å, b = 6.444 Å, c = 3.574 Å
α = 90.00°, β = 90.00°, γ = 90.00°
Positions (direct):
Ni  0.143  0.357  0.000
Ni  0.357  0.857  0.000
Ni  0.643  0.143  0.000
Ni  0.857  0.643  0.000
Ge  0.000  0.000  0.500
Ge  0.500  0.500  0.500
Pd  0.150  0.650  0.500
Pd  0.350  0.150  0.500
Pd  0.650  0.850  0.500
Pd  0.850  0.350  0.500



No. 3
# Ni6GePd

A geometry-optimized Ni6GePd structure (PBE, Alexandria via LeMat-Bulk).

Properties
Uncorrected energy in eV per atom: -5.67
E_form in eV/atom: -0.10

a = 6.252 Å, b = 6.252 Å, c = 10.229 Å
α = 90.00°, β = 90.00°, γ = 109.64°
Positions (direct):
Ni  0.000  0.000  0.000
Ni  0.000  0.000  0.500
Ni  0.120  0.372  0.122
Ni  0.120  0.372  0.878
Ni  0.121  0.369  0.372
Ni  0.121  0.369  0.628
Ni  0.247  0.753  0.245
Ni  0.247  0.753  0.755
Ni  0.369  0.121  0.372
Ni  0.369  0.121  0.628
Ni  0.372  0.120  0.122
Ni  0.372  0.120  0.878
Ni  0.500  0.500  0.000
Ni  0.500  0.500  0.500
Ni  0.628  0.880  0.122
Ni  0.628  0.880  0.878
Ni  0.631  0.879  0.372
Ni  0.631  0.879  0.628
Ni  0.753  0.247  0.245
Ni  0.753  0.247  0.755
Ni  0.879  0.631  0.372
Ni  0.879  0.631  0.628
Ni  0.880  0.628  0.122
Ni  0.880  0.628  0.878
Ge  0.000  0.000  0.250
Ge  0.000  0.000  0.750
Ge  0.254  0.746  0.000
Ge  0.746  0.254  0.000
Pd  0.253  0.747  0.500
Pd  0.500  0.500  0.251
Pd  0.500  0.500  0.749
Pd  0.747  0.253  0.500



No. 4
# Ni2Ge2Pd

A geometry-optimized Ni2Ge2Pd structure (PBE, Alexandria via LeMat-Bulk).

Properties
Offset from the most stable computed form in eV per atom: 0.0836
Uncorrected energy in eV per atom: -5.43
E_form in eV/atom: -0.23

a = 6.897 Å, b = 6.897 Å, c = 2.841 Å
α = 90.00°, β = 90.00°, γ = 90.00°
Positions (direct):
Ni  0.130  0.370  0.000
Ni  0.370  0.870  0.000
Ni  0.630  0.130  0.000
Ni  0.870  0.630  0.000
Ge  0.169  0.669  0.500
Ge  0.331  0.169  0.500
Ge  0.669  0.831  0.500
Ge  0.831  0.331  0.500
Pd  0.000  0.000  0.000
Pd  0.500  0.500  0.000



No. 5
# Ni8GePd2

A geometry-optimized Ni8GePd2 structure (PBE, Alexandria via LeMat-Bulk).

Properties
Uncorrected energy in eV per atom: -5.41
E_form in eV/atom: 0.16

a = 3.937 Å, b = 6.135 Å, c = 6.135 Å
α = 105.89°, β = 90.00°, γ = 90.00°
Positions (direct):
Ni  0.000  0.000  0.000
Ni  0.000  0.346  0.346
Ni  0.000  0.442  0.906
Ni  0.000  0.906  0.442
Ni  0.500  0.382  0.639
Ni  0.500  0.639  0.382
Ni  0.500  0.708  0.965
Ni  0.500  0.965  0.708
Ge  0.000  0.673  0.673
Pd  0.500  0.043  0.303
Pd  0.500  0.303  0.043



No. 6
# Ni4Ge2Pd

A geometry-optimized Ni4Ge2Pd structure (PBE, Alexandria via LeMat-Bulk).

Properties
Offset from the most stable computed form in eV per atom: 0.0158
Uncorrected energy in eV per atom: -5.59
E_form in eV/atom: -0.22

a = 6.966 Å, b = 6.966 Å, c = 6.966 Å
α = 33.34°, β = 33.34°, γ = 33.34°
Positions (direct):
Ni  0.089  0.089  0.089
Ni  0.365  0.365  0.365
Ni  0.635  0.635  0.635
Ni  0.911  0.911  0.911
Ge  0.245  0.245  0.245
Ge  0.755  0.755  0.755
Pd  0.500  0.500  0.500



No. 7
# Pm2Ni4Ge3Pd

A geometry-optimized Pm2Ni4Ge3Pd structure (PBE, Alexandria via LeMat-Bulk).

Properties
Uncorrected energy in eV per atom: -5.80
E_form in eV/atom: -0.63

a = 4.076 Å, b = 4.076 Å, c = 10.128 Å
α = 90.00°, β = 90.00°, γ = 90.00°
Positions (direct):
Pm  0.000  0.500  0.249
Pm  0.500  0.000  0.751
Ni  0.000  0.000  0.500
Ni  0.000  0.500  0.856
Ni  0.500  0.000  0.144
Ni  0.500  0.500  0.500
Ge  0.000  0.000  0.000
Ge  0.000  0.500  0.623
Ge  0.500  0.000  0.377
Pd  0.500  0.500  0.000



No. 8
# Pm2NiGe3Pd4

A geometry-optimized Pm2NiGe3Pd4 structure (PBE, Alexandria via LeMat-Bulk).

Properties
Uncorrected energy in eV per atom: -5.71
E_form in eV/atom: -0.72

a = 4.265 Å, b = 4.265 Å, c = 10.316 Å
α = 90.00°, β = 90.00°, γ = 90.00°
Positions (direct):
Pm  0.000  0.500  0.237
Pm  0.500  0.000  0.763
Ni  0.500  0.500  0.000
Ge  0.000  0.000  0.000
Ge  0.000  0.500  0.632
Ge  0.500  0.000  0.368
Pd  0.000  0.000  0.500
Pd  0.000  0.500  0.869
Pd  0.500  0.000  0.131
Pd  0.500  0.500  0.500



No. 9
# Pm2Ni3Ge4Pd

A geometry-optimized Pm2Ni3Ge4Pd structure (PBE, Alexandria via LeMat-Bulk).

Properties
Uncorrected energy in eV per atom: -5.78
E_form in eV/atom: -0.73

a = 4.195 Å, b = 4.195 Å, c = 9.796 Å
α = 90.00°, β = 90.00°, γ = 90.00°
Positions (direct):
Pm  0.000  0.500  0.245
Pm  0.500  0.000  0.755
Ni  0.000  0.500  0.880
Ni  0.500  0.000  0.120
Ni  0.500  0.500  0.500
Ge  0.000  0.000  0.000
Ge  0.000  0.500  0.638
Ge  0.500  0.000  0.362
Ge  0.500  0.500  0.000
Pd  0.000  0.000  0.500



No. 10
# PmNiGePd

A geometry-optimized PmNiGePd structure (PBE, Alexandria via LeMat-Bulk).

Properties
Uncorrected energy in eV per atom: -5.54
E_form in eV/atom: -0.45

a = 4.664 Å, b = 4.664 Å, c = 4.664 Å
α = 60.00°, β = 60.00°, γ = 60.00°
Positions (direct):
Pm  0.000  0.000  0.000
Ni  0.250  0.250  0.250
Ge  0.500  0.500  0.500
Pd  0.750  0.750  0.750



No. 11
# PmNiGe2Pd

A geometry-optimized PmNiGe2Pd structure (PBE, Alexandria via LeMat-Bulk).

Properties
Uncorrected energy in eV per atom: -5.73
E_form in eV/atom: -0.74

a = 5.858 Å, b = 5.858 Å, c = 5.858 Å
α = 137.62°, β = 137.62°, γ = 61.48°
Positions (direct):
Pm  0.000  0.000  0.000
Ni  0.250  0.750  0.500
Ge  0.375  0.375  0.000
Ge  0.625  0.625  0.000
Pd  0.750  0.250  0.500



No. 12
# Pm2Ni12Ge3Pd

A geometry-optimized Pm2Ni12Ge3Pd structure (PBE, Alexandria via LeMat-Bulk).

Properties
Uncorrected energy in eV per atom: -5.46
E_form in eV/atom: -0.02

a = 6.392 Å, b = 6.392 Å, c = 6.392 Å
α = 85.16°, β = 85.16°, γ = 85.16°
Positions (direct):
Pm  0.176  0.176  0.176
Pm  0.824  0.824  0.824
Ni  0.104  0.104  0.617
Ni  0.104  0.617  0.104
Ni  0.204  0.694  0.694
Ni  0.306  0.306  0.796
Ni  0.306  0.796  0.306
Ni  0.383  0.896  0.896
Ni  0.617  0.104  0.104
Ni  0.694  0.204  0.694
Ni  0.694  0.694  0.204
Ni  0.796  0.306  0.306
Ni  0.896  0.383  0.896
Ni  0.896  0.896  0.383
Ge  0.000  0.500  0.500
Ge  0.500  0.000  0.500
Ge  0.500  0.500  0.000
Pd  0.500  0.500  0.500



Number 1: D(E_F) 1.97 states/eV/cell. Number 2: D(E_F) 12.82 states/eV/cell. Number 3: D(E_F) 45.31 states/eV/cell. Number 4: D(E_F) 3.39 states/eV/cell. Number 5: D(E_F) 15.87 states/eV/cell. Number 6: D(E_F) 3.25 states/eV/cell. Number 7: D(E_F) 6.82 states/eV/cell. Number 8: D(E_F) 7.94 states/eV/cell. Number 9: D(E_F) 6.74 states/eV/cell. Number 10: D(E_F) 3.92 states/eV/cell. Number 11: D(E_F) 2.71 states/eV/cell. Number 12: D(E_F) 17.74 states/eV/cell.